VASP calculation (PBE) on a relaxed Y2Be4CuPt3 crystal.

## Properties
**Uncorrected energy**: -57.5 eV per cell
**Total magnetization**: 0.00 Bohr magnetons per cell
**Formation energy**: -0.741 eV/atom

Cell: 4.0030 4.0030 9.4490 Å, 90.00 90.00 90.00°
With the nearest neighbours (Å) after each atom.
Space group P-4m2 (No. 115)
Asymmetric unit:
1 Y 0.0000 0.5000 0.2504  6 Pt 3.06-3.09, 8 Be 3.07-3.10, 2 Cu 3.09
2 Be 0.0000 0.0000 0.0000  4 Pt 2.34
3 Be 0.0000 0.5000 0.6229  3 Pt 2.31-2.35, 2 Cu 2.31
4 Be 0.5000 0.5000 0.0000  4 Pt 2.34
5 Cu 0.0000 0.0000 0.5000  4 Be 2.31
6 Pt 0.0000 0.5000 0.8716  5 Be 2.34-2.35
7 Pt 0.5000 0.5000 0.5000  4 Be 2.31